# 1
Entry from the Alexandria database: a geometry-optimized Th2P3PdPt4 structure (GGA-PBE).

Values from the calculation:
DFT formation energy = -0.91 eV/atom

Unit cell a=4.182 b=4.182 c=10.459 alpha=90.00 beta=90.00 gamma=90.00
Element x y z (fractional)
Th 0.000 0.500 0.752
Th 0.500 0.000 0.248
P 0.500 0.000 0.875
P 0.000 0.500 0.125
P 0.000 0.000 0.500
Pd 0.500 0.500 0.500
Pt 0.000 0.500 0.343
Pt 0.500 0.000 0.657
Pt 0.000 0.000 0.000
Pt 0.500 0.500 0.000

# 2
Entry from the Alexandria database: a geometry-optimized MgCdInAg2 structure (GGA-PBE).

Values from the calculation:
DFT formation energy = -0.07 eV/atom
offset from the most stable computed form = 0.000 eV per atom

Unit cell a=4.146 b=7.154 c=6.849 alpha=89.75 beta=90.00 gamma=90.00
Element x y z (fractional)
Ag 0.250 0.168 0.458
Ag 0.750 0.645 0.942
Ag 0.750 0.832 0.542
Ag 0.250 0.355 0.058
In 0.750 0.051 0.164
In 0.250 0.949 0.836
Mg 0.750 0.444 0.337
Mg 0.250 0.556 0.663
Cd 0.750 0.263 0.752
Cd 0.250 0.737 0.248

# 3
Entry from the Alexandria database: a geometry-optimized LaHo2GeN4 structure (GGA-PBE).

Values from the calculation:
ΔE_f (raw) = -1.137 eV/atom

Unit cell a=3.546 b=6.035 c=11.597 alpha=90.00 beta=90.00 gamma=107.08
Element x y z (fractional)
N 0.732 0.465 0.624
N 0.000 0.000 0.500
N 0.000 0.000 0.000
N 0.582 0.165 0.250
N 0.418 0.835 0.750
N 0.268 0.535 0.376
N 0.268 0.535 0.124
N 0.732 0.465 0.876
La 0.097 0.193 0.750
La 0.903 0.807 0.250
Ge 0.165 0.330 0.250
Ge 0.835 0.670 0.750
Ho 0.631 0.261 0.043
Ho 0.369 0.739 0.543
Ho 0.631 0.261 0.457
Ho 0.369 0.739 0.957

no.,E (eV per atom)
1,-6.951
2,-2.259
3,-7.637